Material: MoAs3F
Method: DFT, PBE with a Hubbard U
State: relaxed

abc: 4.5493 4.5493 4.5493
angles: 90.00 90.00 90.00
Closest atoms and distances in Å follow each position.
Fractional coordinates of all 5 atoms:
Mo1 0.0000 0.0000 0.0000  12 As 3.22
As1 0.0000 0.5000 0.5000  2 F 2.27
As2 0.5000 0.0000 0.5000  2 F 2.27
As3 0.5000 0.5000 0.0000  2 F 2.27
F1 0.5000 0.5000 0.5000  6 As 2.27

Values from the calculation:
V: 18.831 Å³ per atom
SG: No. 221
Distance to the lowest polymorph of the same formula: 25 meV per atom
Theoretical density: 6.0 g cm⁻³
DOS(E_F): 0.395 states/eV/atom